NdHo4Er6 | GGA-PBE | relaxed

Output
Crystal system ... orthorhombic
ΔH_f (0 K) ... 0.12 eV/atom
Total energy ... -196.4 eV/cell

a b c (Å): 5.623 9.627 25.526
angles (deg): 90.00 90.00 90.00
Space group Cmcm (No. 63)
Symmetry-distinct sites (fractional):
1 Nd 0.000 0.175 0.250 (multiplicity 4)
2 Ho 0.000 0.163 0.542 (multiplicity 8)
3 Ho 0.000 0.489 0.621 (multiplicity 8)
4 Er 0.000 0.157 0.681 (multiplicity 8)
5 Er 0.000 0.176 0.102 (multiplicity 8)
6 Er 0.000 0.491 0.750 (multiplicity 4)
7 Er 0.000 0.500 0.000 (multiplicity 4)